No. 1
Computed, not measured: crystalline ScRe2Mo at its relaxed geometry at the PBE-GGA level of DFT.

Cell and atoms, written as POSCAR:
```
ScRe2Mo
1.0
1.441 0.832 9.081
-1.441 0.832 9.081
0.000 -1.664 9.081
Sc Re Mo
1 2 1
Cartesian
0.000 0.000 0.000
0.000 0.000 6.714
0.000 0.000 20.529
0.000 0.000 13.622
```

Results
**Polymorph energy (0 for the lowest one)**: 260.6 meV per atom
**Fermi-level density of states**: 2.62 states/eV per cell
**ΔH_f (0 K)**: 0.187 eV per atom
**Total magnetic moment**: 0.00 μB/cell



No. 2
Computed, not measured: crystalline ScReMo2 at its relaxed geometry at the PBE-GGA level of DFT.

Cell and atoms, written as POSCAR:
```
ScReMo2
1.0
-1.597 2.255 4.566
1.597 -2.255 4.566
1.597 2.255 -4.566
Sc Re Mo
1 1 2
Cartesian
0.000 0.000 0.000
0.000 0.000 4.566
1.597 0.000 2.399
0.000 2.255 2.167
```

Results
**Polymorph energy (0 for the lowest one)**: 0.0 meV per atom
**Fermi-level density of states**: 2.21 states/eV per cell
**ΔH_f (0 K)**: -0.054 eV per atom
**Total magnetic moment**: 0.00 μB/cell



No. 3
Computed, not measured: crystalline ScRe2Mo at its relaxed geometry at the PBE-GGA level of DFT.

Cell and atoms, written as POSCAR:
```
ScRe2Mo
1.0
2.806 0.000 0.000
0.000 4.418 0.000
0.000 0.000 5.273
Sc Re Mo
1 2 1
Cartesian
0.000 0.000 0.000
0.000 0.000 2.663
1.403 2.209 3.919
1.403 2.209 1.331
```

Results
**Polymorph energy (0 for the lowest one)**: 307.6 meV per atom
**Fermi-level density of states**: 3.70 states/eV per cell
**ΔH_f (0 K)**: 0.234 eV per atom
**Total magnetic moment**: 0.00 μB/cell



No. 4
Computed, not measured: crystalline Sc2Re2Mo at its relaxed geometry at the PBE-GGA level of DFT.

Cell and atoms, written as POSCAR:
```
Sc2Re2Mo
1.0
8.097 0.000 0.000
0.000 8.097 0.000
0.000 0.000 2.721
Sc Re Mo
4 4 2
Cartesian
1.034 3.014 0.000
3.014 7.062 0.000
5.083 1.034 0.000
7.062 5.083 0.000
1.429 5.478 1.360
2.619 1.429 1.360
5.478 6.667 1.360
6.667 2.619 1.360
0.000 0.000 0.000
4.048 4.048 0.000
```

Results
**Polymorph energy (0 for the lowest one)**: 597.3 meV per atom
**Fermi-level density of states**: 9.68 states/eV per cell
**ΔH_f (0 K)**: 0.662 eV per atom
**Total magnetic moment**: 1.72 μB/cell



- Which of these has the highest total magnetic moment?
  Sc2Re2Mo



- Look up the Fermi-level density of states of the third one.
  3.70 states/eV per cell



- Among the records above, which one has the highest total magnetic moment?
  Sc2Re2Mo



- What is the Fermi-level density of states in the second record?
  2.21 states/eV per cell